(1)
# NbV2W PBE optimized geometry
# E above lowest polymorph, meV/atom: 2.8
# Calculated formation energy, eV/f.u.: -0.06
data_NbV2W
_cell_length_a 3.114
_cell_length_b 3.114
_cell_length_c 6.300
_cell_angle_alpha 90.00
_cell_angle_beta 90.00
_cell_angle_gamma 90.00
_space_group_name_H-M_alt 'P 4/m m m'
_space_group_IT_number 123
_space_group_name_Hall '-P 4 2'
loop_
_atom_site_label
_atom_site_fract_x
_atom_site_fract_y
_atom_site_fract_z
Nb1 0.000 0.000 0.000
V1 0.500 0.500 0.259
W1 0.000 0.000 0.500

=====

(2)
# GdDyAu2 PBE optimized geometry
# Calculated formation energy, eV/f.u.: -3.39
data_GdDyAu2
_cell_length_a 5.128
_cell_length_b 5.128
_cell_length_c 3.595
_cell_angle_alpha 90.00
_cell_angle_beta 90.00
_cell_angle_gamma 90.00
_space_group_name_H-M_alt 'P 4/m m m'
_space_group_IT_number 123
_space_group_name_Hall '-P 4 2'
loop_
_atom_site_label
_atom_site_fract_x
_atom_site_fract_y
_atom_site_fract_z
Gd1 0.000 0.000 0.000
Dy1 0.500 0.500 0.000
Au1 0.000 0.500 0.500

=====

(3)
# Pm12PrIr6 PBE optimized geometry
# Calculated formation energy, eV/f.u.: -7.97
data_Pm12PrIr6
_cell_length_a 13.7798
_cell_length_b 13.7798
_cell_length_c 10.1166
_cell_angle_alpha 90.00
_cell_angle_beta 90.00
_cell_angle_gamma 120.00
_space_group_name_H-M_alt 'R -3 m'
_space_group_IT_number 166
_space_group_name_Hall '-R 3 2"'
loop_
_atom_site_label
_atom_site_fract_x
_atom_site_fract_y
_atom_site_fract_z
Pm1 0.0000 0.3768 0.0000
Pm2 0.0865 0.1731 0.8556
Pr1 0.0000 0.0000 0.5000
Ir1 0.0431 0.5216 0.7677

=====

(4)
VASP calculation (PBE) on a geometry-optimized Sb3S3F structure.

Cell and atoms, written as CIF:
```
data_Sb3S3F
_cell_length_a 8.0847
_cell_length_b 8.0847
_cell_length_c 18.5521
_cell_angle_alpha 90.00
_cell_angle_beta 90.00
_cell_angle_gamma 120.00
_space_group_name_H-M_alt 'R -3'
_space_group_IT_number 148
_space_group_name_Hall '-R 3'
loop_
_atom_site_label
_atom_site_fract_x
_atom_site_fract_y
_atom_site_fract_z
Sb1 0.0119 0.6511 0.2585
S1 0.0079 0.2846 0.8930
F1 0.0000 0.0000 0.3896
```

=====

(5)
VASP calculation (PBE) on a geometry-optimized BiAsNO2 structure.

Cell and atoms, written as CIF:
```
data_BiAsNO2
_cell_length_a 4.185
_cell_length_b 4.185
_cell_length_c 4.373
_cell_angle_alpha 90.00
_cell_angle_beta 90.00
_cell_angle_gamma 90.00
_space_group_name_H-M_alt 'P 4/m m m'
_space_group_IT_number 123
_space_group_name_Hall '-P 4 2'
loop_
_atom_site_label
_atom_site_fract_x
_atom_site_fract_y
_atom_site_fract_z
Bi1 0.000 0.000 0.000
As1 0.500 0.500 0.500
N1 0.000 0.000 0.500
O1 0.000 0.500 0.000
```

=====

(6)
# NaSiSeBr2 PBE optimized geometry
# E above lowest polymorph, meV/atom: 838.8
data_NaSiSeBr2
_cell_length_a 5.188
_cell_length_b 5.188
_cell_length_c 5.451
_cell_angle_alpha 90.00
_cell_angle_beta 90.00
_cell_angle_gamma 90.00
_space_group_name_H-M_alt 'P 4/m m m'
_space_group_IT_number 123
_space_group_name_Hall '-P 4 2'
loop_
_atom_site_label
_atom_site_fract_x
_atom_site_fract_y
_atom_site_fract_z
Na1 0.000 0.000 0.000
Si1 0.500 0.500 0.500
Se1 0.000 0.000 0.500
Br1 0.000 0.500 0.000

=====

(7)
VASP calculation (PBE) on a geometry-optimized SrLa4TiAl4O15 structure.

Cell and atoms, written as CIF:
```
data_SrLa4TiAl4O15
_cell_length_a 5.416
_cell_length_b 27.134
_cell_length_c 3.849
_cell_angle_alpha 90.00
_cell_angle_beta 90.00
_cell_angle_gamma 90.00
_space_group_name_H-M_alt 'C m m m'
_space_group_IT_number 65
_space_group_name_Hall '-C 2 2'
loop_
_atom_site_label
_atom_site_fract_x
_atom_site_fract_y
_atom_site_fract_z
Sr1 0.000 0.000 0.000
La1 0.000 0.200 0.000
La2 0.000 0.397 0.000
Ti1 0.000 0.500 0.500
Al1 0.000 0.101 0.500
Al2 0.000 0.299 0.500
O1 0.000 0.104 0.000
O2 0.000 0.300 0.000
O3 0.000 0.500 0.000
O4 0.248 0.448 0.500
O5 0.249 0.349 0.500
O6 0.250 0.250 0.500
```

=====

(8)
# ScRh2W PBE optimized geometry
# E above lowest polymorph, meV/atom: 192.3
# Calculated formation energy, eV/f.u.: -0.99
data_ScRh2W
_cell_length_a 3.857
_cell_length_b 3.857
_cell_length_c 8.537
_cell_angle_alpha 90.00
_cell_angle_beta 90.00
_cell_angle_gamma 90.00
_space_group_name_H-M_alt 'I -4 m 2'
_space_group_IT_number 119
_space_group_name_Hall 'I -4 -2'
loop_
_atom_site_label
_atom_site_fract_x
_atom_site_fract_y
_atom_site_fract_z
Sc1 0.000 0.000 0.000
Rh1 0.000 0.000 0.500
Rh2 0.000 0.500 0.250
W1 0.000 0.500 0.750

=====

(9)
# VCu2W PBE optimized geometry
# E above lowest polymorph, meV/atom: 260.2
# Calculated formation energy, eV/f.u.: 2.89
data_VCu2W
_cell_length_a 6.854
_cell_length_b 6.854
_cell_length_c 4.869
_cell_angle_alpha 90.00
_cell_angle_beta 90.00
_cell_angle_gamma 90.00
_space_group_name_H-M_alt 'I -4 2 d'
_space_group_IT_number 122
_space_group_name_Hall 'I -4 2bw'
loop_
_atom_site_label
_atom_site_fract_x
_atom_site_fract_y
_atom_site_fract_z
V1 0.000 0.000 0.000
Cu1 0.241 0.250 0.125
W1 0.000 0.000 0.500

=====

(10)
# Tc3GePd PBE optimized geometry
# E above lowest polymorph, meV/atom: 0.0
# Calculated formation energy, eV/f.u.: 6.85
data_Tc3GePd
_cell_length_a 4.501
_cell_length_b 4.501
_cell_length_c 4.501
_cell_angle_alpha 90.00
_cell_angle_beta 90.00
_cell_angle_gamma 90.00
_space_group_name_H-M_alt 'P m -3 m'
_space_group_IT_number 221
_space_group_name_Hall '-P 4 2 3'
loop_
_atom_site_label
_atom_site_fract_x
_atom_site_fract_y
_atom_site_fract_z
Tc1 0.000 0.000 0.500
Ge1 0.000 0.000 0.000
Pd1 0.500 0.500 0.500

=====

(11)
VASP calculation (PBE) on a geometry-optimized CsSrZr2H structure.

Cell and atoms, written as CIF:
```
data_CsSrZr2H
_cell_length_a 4.613
_cell_length_b 4.613
_cell_length_c 6.092
_cell_angle_alpha 90.00
_cell_angle_beta 90.00
_cell_angle_gamma 90.00
_space_group_name_H-M_alt 'P 4/m m m'
_space_group_IT_number 123
_space_group_name_Hall '-P 4 2'
loop_
_atom_site_label
_atom_site_fract_x
_atom_site_fract_y
_atom_site_fract_z
Cs1 0.000 0.000 0.000
Sr1 0.500 0.500 0.000
Zr1 0.000 0.500 0.500
H1 0.000 0.000 0.500
```

=====

(12)
VASP calculation (PBE) on a geometry-optimized BSbPd2Pt structure.

Cell and atoms, written as CIF:
```
data_BSbPd2Pt
_cell_length_a 4.343
_cell_length_b 4.343
_cell_length_c 4.229
_cell_angle_alpha 90.00
_cell_angle_beta 90.00
_cell_angle_gamma 90.00
_space_group_name_H-M_alt 'P 4/m m m'
_space_group_IT_number 123
_space_group_name_Hall '-P 4 2'
loop_
_atom_site_label
_atom_site_fract_x
_atom_site_fract_y
_atom_site_fract_z
B1 0.000 0.000 0.000
Sb1 0.500 0.500 0.500
Pd1 0.000 0.500 0.000
Pt1 0.000 0.000 0.500
```

=====

no.,energy (eV/f.u.)
1,-41.323
2,-28.626
3,-122.921
4,-29.073
5,-23.675
6,-11.808
7,-200.095
8,-34.977
9,-27.375
10,-34.053
11,-19.634
12,-28.078